First-principles (PBE) data for crystalline La2InSb3Rh4 at its relaxed geometry, as listed in the Alexandria database.

Computed properties:
SG   P-4m2 (115)
DFT total energy   -6.26 eV/atom
DOS at the Fermi energy   7.5 states/eV per cell
Volume   220 Å³ per cell
Size of the total moment   0.00 μB/f.u.

Cell and atoms, written as POSCAR:
```
La2InSb3Rh4
1.0
4.5007 0.0000 0.0000
0.0000 4.5007 0.0000
0.0000 0.0000 10.8539
La In Sb Rh
2 1 3 4
direct
0.0000 0.5000 0.2491
0.5000 0.0000 0.7509
0.0000 0.0000 0.5000
0.0000 0.5000 0.8700
0.5000 0.0000 0.1300
0.5000 0.5000 0.5000
0.0000 0.0000 0.0000
0.0000 0.5000 0.6335
0.5000 0.0000 0.3665
0.5000 0.5000 0.0000
```


First-principles (PBE) data for crystalline LaIn2SbRh at its relaxed geometry, as listed in the Alexandria database.

Computed properties:
SG   P4/mmm (123)
DFT total energy   -4.90 eV/atom
DOS at the Fermi energy   3.0 states/eV per cell
Volume   143 Å³ per cell
Size of the total moment   0.00 μB/f.u.

Cell and atoms, written as POSCAR:
```
LaIn2SbRh
1.0
5.1411 0.0000 0.0000
0.0000 5.1411 0.0000
0.0000 0.0000 5.4007
La In Sb Rh
1 2 1 1
direct
0.0000 0.0000 0.0000
0.0000 0.5000 0.5000
0.5000 0.0000 0.5000
0.5000 0.5000 0.0000
0.0000 0.0000 0.5000
```


First-principles (PBE) data for crystalline LaInSbRh3 at its relaxed geometry, as listed in the Alexandria database.

Computed properties:
SG   Cmcm (63)
DFT total energy   -6.12 eV/atom
DOS at the Fermi energy   7.2 states/eV per cell
Volume   282 Å³ per cell
Size of the total moment   0.00 μB/f.u.

Cell and atoms, written as POSCAR:
```
LaInSbRh3
1.0
2.8621 -8.5547 0.0000
2.8621 8.5547 0.0000
0.0000 0.0000 5.7655
La In Sb Rh
2 2 2 6
direct
0.2379 0.7621 0.7500
0.7621 0.2379 0.2500
0.1057 0.8943 0.2500
0.8943 0.1057 0.7500
0.4110 0.5890 0.2500
0.5890 0.4110 0.7500
0.2398 0.2398 0.0000
0.2398 0.2398 0.5000
0.2599 0.7401 0.2500
0.7401 0.2599 0.7500
0.7602 0.7602 0.0000
0.7602 0.7602 0.5000
```


First-principles (PBE) data for crystalline La2InRhSe at its relaxed geometry, as listed in the Alexandria database.

Computed properties:
SG   P4/mmm (123)
DFT total energy   -5.25 eV/atom
DOS at the Fermi energy   5.3 states/eV per cell
Volume   148 Å³ per cell
Size of the total moment   0.00 μB/f.u.

Cell and atoms, written as POSCAR:
```
La2InRhSe
1.0
5.5221 0.0000 0.0000
0.0000 5.5221 0.0000
0.0000 0.0000 4.8669
La In Rh Se
2 1 1 1
direct
0.0000 0.5000 0.0000
0.5000 0.0000 0.0000
0.0000 0.0000 0.5000
0.5000 0.5000 0.0000
0.5000 0.5000 0.5000
```


First-principles (PBE) data for crystalline La2In2Sn4Rh at its relaxed geometry, as listed in the Alexandria database.

Computed properties:
SG   I4/mmm (139)
Energy of formation from the pure elements   -520 meV per atom
DFT total energy   -4.82 eV/atom
DOS at the Fermi energy   5.6 states/eV per cell
Volume   236 Å³ per cell
Size of the total moment   0.00 μB/f.u.

Cell and atoms, written as POSCAR:
```
La2In2Sn4Rh
1.0
-3.5237 3.5237 4.7518
3.5237 -3.5237 4.7518
3.5237 3.5237 -4.7518
La In Sn Rh
2 2 4 1
direct
0.2500 0.7500 0.5000
0.7500 0.2500 0.5000
0.2197 0.2197 0.0000
0.7803 0.7803 0.0000
0.2321 0.2321 0.4641
0.2321 0.7679 0.0000
0.7679 0.2321 0.0000
0.7679 0.7679 0.5359
0.5000 0.5000 0.0000
```


First-principles (PBE) data for crystalline La2InSn4Rh3 at its relaxed geometry, as listed in the Alexandria database.

Computed properties:
SG   P-4m2 (115)
Energy of formation from the pure elements   -658 meV per atom
DFT total energy   -5.72 eV/atom
DOS at the Fermi energy   5.5 states/eV per cell
Volume   233 Å³ per cell
Size of the total moment   0.00 μB/f.u.

Cell and atoms, written as POSCAR:
```
La2InSn4Rh3
1.0
4.5461 0.0000 0.0000
0.0000 4.5461 0.0000
0.0000 0.0000 11.2867
La In Sn Rh
2 1 4 3
direct
0.0000 0.5000 0.2377
0.5000 0.0000 0.7623
0.0000 0.0000 0.5000
0.0000 0.0000 0.0000
0.0000 0.5000 0.6489
0.5000 0.0000 0.3511
0.5000 0.5000 0.0000
0.0000 0.5000 0.8772
0.5000 0.0000 0.1228
0.5000 0.5000 0.5000
```


First-principles (PBE) data for crystalline LaInSnRh3 at its relaxed geometry, as listed in the Alexandria database.

Computed properties:
SG   Cmcm (63)
Energy of formation from the pure elements   -348 meV per atom
DFT total energy   -5.97 eV/atom
DOS at the Fermi energy   6.5 states/eV per cell
Volume   256 Å³ per cell
Size of the total moment   0.00 μB/f.u.

Cell and atoms, written as POSCAR:
```
LaInSnRh3
1.0
3.2081 -6.3609 0.0000
3.2081 6.3609 0.0000
0.0000 0.0000 6.2832
La In Sn Rh
2 2 2 6
direct
0.1682 0.8318 0.7500
0.8318 0.1682 0.2500
0.4177 0.5823 0.7500
0.5823 0.4177 0.2500
0.1424 0.8576 0.2500
0.8576 0.1424 0.7500
0.2142 0.2142 0.0000
0.2142 0.2142 0.5000
0.3504 0.6496 0.2500
0.6496 0.3504 0.7500
0.7858 0.7858 0.0000
0.7858 0.7858 0.5000
```


First-principles (PBE) data for crystalline La2InSn3Rh4 at its relaxed geometry, as listed in the Alexandria database.

Computed properties:
SG   P-4m2 (115)
Energy of formation from the pure elements   -718 meV per atom
DFT total energy   -6.12 eV/atom
DOS at the Fermi energy   8.2 states/eV per cell
Volume   222 Å³ per cell
Size of the total moment   0.00 μB/f.u.

Cell and atoms, written as POSCAR:
```
La2InSn3Rh4
1.0
4.5035 0.0000 0.0000
0.0000 4.5035 0.0000
0.0000 0.0000 10.9408
La In Sn Rh
2 1 3 4
direct
0.0000 0.5000 0.2482
0.5000 0.0000 0.7518
0.0000 0.0000 0.5000
0.0000 0.5000 0.8724
0.5000 0.0000 0.1276
0.5000 0.5000 0.5000
0.0000 0.0000 0.0000
0.0000 0.5000 0.6356
0.5000 0.0000 0.3644
0.5000 0.5000 0.0000
```


First-principles (PBE) data for crystalline Sr2LaInRh at its relaxed geometry, as listed in the Alexandria database.

Computed properties:
SG   P4/mmm (123)
Energy of formation from the pure elements   -293 meV per atom
DFT total energy   -3.97 eV/atom
DOS at the Fermi energy   4.4 states/eV per cell
Volume   184 Å³ per cell
Size of the total moment   0.00 μB/f.u.

Cell and atoms, written as POSCAR:
```
Sr2LaInRh
1.0
5.8317 0.0000 0.0000
0.0000 5.8317 0.0000
0.0000 0.0000 5.3972
Sr La In Rh
2 1 1 1
direct
0.0000 0.5000 0.0000
0.5000 0.0000 0.0000
0.0000 0.0000 0.5000
0.5000 0.5000 0.5000
0.0000 0.0000 0.0000
```


First-principles (PBE) data for crystalline LaTbInRh at its relaxed geometry, as listed in the Alexandria database.

Computed properties:
SG   F-43m (216)
Energy of formation from the pure elements   -475 meV per atom
DFT total energy   -5.39 eV/atom
DOS at the Fermi energy   3.9 states/eV per cell
Volume   102 Å³ per cell
Size of the total moment   0.00 μB/f.u.

Cell and atoms, written as POSCAR:
```
LaTbInRh
1.0
0.0000 3.7051 3.7051
3.7051 0.0000 3.7051
3.7051 3.7051 0.0000
La Tb In Rh
1 1 1 1
direct
0.0000 0.0000 0.0000
0.5000 0.5000 0.5000
0.7500 0.7500 0.7500
0.2500 0.2500 0.2500
```


First-principles (PBE) data for crystalline LaInTc2Rh at its relaxed geometry, as listed in the Alexandria database.

Computed properties:
SG   P4/mmm (123)
Energy of formation from the pure elements   1621 meV per atom
DFT total energy   -5.53 eV/atom
DOS at the Fermi energy   4.4 states/eV per cell
Volume   121 Å³ per cell
Size of the total moment   4.53 μB/f.u.

Cell and atoms, written as POSCAR:
```
LaInTc2Rh
1.0
4.9515 0.0000 0.0000
0.0000 4.9515 0.0000
0.0000 0.0000 4.9176
La In Tc Rh
1 1 2 1
direct
0.0000 0.0000 0.0000
0.5000 0.5000 0.5000
0.0000 0.5000 0.0000
0.5000 0.0000 0.0000
0.0000 0.0000 0.5000
```


First-principles (PBE) data for crystalline LaTlIn2Rh at its relaxed geometry, as listed in the Alexandria database.

Computed properties:
SG   P4/mmm (123)
Energy of formation from the pure elements   -421 meV per atom
DFT total energy   -4.45 eV/atom
DOS at the Fermi energy   2.8 states/eV per cell
Volume   145 Å³ per cell
Size of the total moment   0.00 μB/f.u.

Cell and atoms, written as POSCAR:
```
LaTlIn2Rh
1.0
5.2336 0.0000 0.0000
0.0000 5.2336 0.0000
0.0000 0.0000 5.3007
La Tl In Rh
1 1 2 1
direct
0.0000 0.0000 0.0000
0.5000 0.5000 0.0000
0.0000 0.5000 0.5000
0.5000 0.0000 0.5000
0.0000 0.0000 0.5000
```